# 1
Density functional theory data (PBE) for a relaxed structure of La6MgSc2.

Cell and atoms, written as extended XYZ:
```
9
Lattice="5.687 -2.511 0.000 5.687 2.511 0.000 -3.487 0.000 10.164" Properties=species:S:1:pos:R:3 pbc="T T T"
La -1.127 0.000 3.444
La 1.039 0.000 7.806
La 3.382 0.000 1.139
La 4.505 0.000 9.025
La 6.847 0.000 2.358
La 9.013 0.000 6.719
Mg 0.000 0.000 0.000
Sc 2.251 0.000 4.567
Sc 5.636 0.000 5.597
```

Summary:
Space-group type = No. 12
Mass density = 5.42 Mg/m³
Calculated volume = 32.25 Å³ per atom
VASP energy = -4.8439 eV/atom
Total magnetic moment = 0.0000 μB/atom

***

# 2
Density functional theory data (PBE) for a relaxed structure of LaMgSc.

Cell and atoms, written as extended XYZ:
```
12
Lattice="7.370 0.000 0.000 0.000 7.370 0.000 0.000 0.000 7.370" Properties=species:S:1:pos:R:3 pbc="T T T"
La 0.000 0.000 0.000
La 0.000 3.685 3.685
La 3.685 0.000 3.685
La 3.685 3.685 0.000
Mg 1.842 1.842 5.527
Mg 1.842 5.527 1.842
Mg 5.527 1.842 1.842
Mg 5.527 5.527 5.527
Sc 1.842 1.842 1.842
Sc 1.842 5.527 5.527
Sc 5.527 1.842 5.527
Sc 5.527 5.527 1.842
```

Summary:
Relative energy among the computed polymorphs = 70.5 kJ per mole of atoms
Space-group type = No. 216
Mass density = 3.45 Mg/m³
Calculated volume = 33.35 Å³ per atom
VASP energy = -3.5575 eV/atom
Total magnetic moment = 0.0001 μB/atom

***

# 3
Density functional theory data (PBE) for a relaxed structure of LaMg9Sc2.

Cell and atoms, written as extended XYZ:
```
12
Lattice="2.978 1.720 9.683 -2.978 1.720 9.683 0.000 -3.439 9.683" Properties=species:S:1:pos:R:3 pbc="T T T"
La 0.000 0.000 0.000
Mg -1.518 -0.876 12.208
Mg 0.000 0.000 9.705
Mg 0.000 -1.753 16.842
Mg -1.518 0.876 16.842
Mg 0.000 0.000 14.525
Mg 1.518 -0.876 12.208
Mg 0.000 1.753 12.208
Mg 0.000 0.000 19.344
Mg 1.518 0.876 16.842
Sc 0.000 0.000 4.275
Sc 0.000 0.000 24.775
```

Summary:
Space-group type = No. 166
Mass density = 2.50 Mg/m³
Calculated volume = 24.79 Å³ per atom
VASP energy = -2.6797 eV/atom
Total magnetic moment = 0.0001 μB/atom

***

# 4
Density functional theory data (PBE) for a relaxed structure of La2MgSc2.

Cell and atoms, written as extended XYZ:
```
10
Lattice="4.159 0.000 0.000 0.000 4.159 0.000 0.000 0.000 18.684" Properties=species:S:1:pos:R:3 pbc="T T T"
La 0.000 0.000 1.796
La 0.000 0.000 16.888
La 2.079 2.079 7.546
La 2.079 2.079 11.138
Mg 0.000 0.000 9.342
Mg 2.079 2.079 0.000
Sc 0.000 2.079 4.671
Sc 0.000 2.079 14.013
Sc 2.079 0.000 4.671
Sc 2.079 0.000 14.013
```

Summary:
Relative energy among the computed polymorphs = 14.7 kJ per mole of atoms
Space-group type = No. 139
Mass density = 4.03 Mg/m³
Calculated volume = 32.31 Å³ per atom
VASP energy = -4.5348 eV/atom
Total magnetic moment = 0.1324 μB/atom

***

# 5
Density functional theory data (PBE) for a relaxed structure of LaMgSc.

Cell and atoms, written as extended XYZ:
```
6
Lattice="3.451 0.000 0.000 0.000 5.344 0.000 -0.002 0.000 9.337" Properties=species:S:1:pos:R:3 pbc="T T T"
La 0.859 1.336 1.100
La 2.591 4.008 8.236
Mg 0.868 1.336 6.854
Mg 2.581 4.008 2.482
Sc 0.860 4.008 5.148
Sc 2.589 1.336 4.189
```

Summary:
Relative energy among the computed polymorphs = 4.1 kJ per mole of atoms
Space-group type = No. 11
Mass density = 4.01 Mg/m³
Calculated volume = 28.70 Å³ per atom
VASP energy = -4.2459 eV/atom
Total magnetic moment = 0.0001 μB/atom

***

# 6
Density functional theory data (PBE) for a relaxed structure of LaMgSc3.

Cell and atoms, written as extended XYZ:
```
5
Lattice="5.257 0.000 0.000 0.000 5.257 0.000 0.000 0.000 5.257" Properties=species:S:1:pos:R:3 pbc="T T T"
La 0.000 0.000 0.000
Mg 2.628 2.628 2.628
Sc 0.000 0.000 2.628
Sc 0.000 2.628 0.000
Sc 2.628 0.000 0.000
```

Summary:
Relative energy among the computed polymorphs = 31.2 kJ per mole of atoms
Space-group type = No. 221
Mass density = 3.41 Mg/m³
Calculated volume = 29.05 Å³ per atom
VASP energy = -4.2415 eV/atom
Total magnetic moment = 0.0000 μB/atom

***

# 7
Density functional theory data (PBE) for a relaxed structure of La5Mg6Sc.

Cell and atoms, written as extended XYZ:
```
12
Lattice="2.750 -8.276 0.000 2.750 8.276 0.000 0.000 0.000 7.849" Properties=species:S:1:pos:R:3 pbc="T T T"
La 0.000 0.000 0.000
La 2.750 2.865 0.000
La 2.750 2.727 3.924
La 2.750 -2.727 3.924
La 2.750 -2.865 0.000
Mg 2.750 5.644 2.056
Mg 2.750 5.644 5.792
Mg 2.750 0.000 2.052
Mg 2.750 0.000 5.796
Mg 2.750 -5.644 2.056
Mg 2.750 -5.644 5.792
Sc 0.000 0.000 3.924
```

Summary:
Space-group type = No. 65
Mass density = 4.11 Mg/m³
Calculated volume = 29.77 Å³ per atom
VASP energy = -3.4657 eV/atom
Total magnetic moment = 0.0000 μB/atom

***

# 8
Density functional theory data (PBE) for a relaxed structure of LaMgSc3.

Cell and atoms, written as extended XYZ:
```
5
Lattice="5.326 0.000 0.000 0.000 5.326 0.000 0.000 0.000 5.326" Properties=species:S:1:pos:R:3 pbc="T T T"
La 0.000 0.000 0.000
Mg 2.663 2.663 2.663
Sc 0.000 2.663 2.663
Sc 2.663 0.000 2.663
Sc 2.663 2.663 0.000
```

Summary:
Relative energy among the computed polymorphs = 0.0 kJ per mole of atoms
Space-group type = No. 221
Mass density = 3.28 Mg/m³
Calculated volume = 30.22 Å³ per atom
VASP energy = -4.5645 eV/atom
Total magnetic moment = 0.0000 μB/atom

***

# 9
Density functional theory data (PBE) for a relaxed structure of La2Mg9Sc.

Cell and atoms, written as extended XYZ:
```
12
Lattice="3.033 1.751 9.891 -3.033 1.751 9.891 0.000 -3.502 9.891" Properties=species:S:1:pos:R:3 pbc="T T T"
La 0.000 0.000 4.208
La 0.000 0.000 25.464
Mg -1.529 -0.883 12.317
Mg 0.000 0.000 9.908
Mg 0.000 -1.765 17.355
Mg -1.529 0.883 17.355
Mg 0.000 0.000 14.836
Mg 1.529 -0.883 12.318
Mg 0.000 1.765 12.318
Mg 0.000 0.000 19.764
Mg 1.529 0.883 17.355
Sc 0.000 0.000 0.000
```

Summary:
Space-group type = No. 166
Mass density = 2.85 Mg/m³
Calculated volume = 26.26 Å³ per atom
VASP energy = -2.5433 eV/atom
Total magnetic moment = 0.0000 μB/atom

***

# 10
Density functional theory data (PBE) for a relaxed structure of La2MgSc2.

Cell and atoms, written as extended XYZ:
```
10
Lattice="9.072 0.000 0.000 0.000 9.072 0.000 0.000 0.000 3.665" Properties=species:S:1:pos:R:3 pbc="T T T"
La 1.199 3.338 0.000
La 3.338 7.874 0.000
La 5.735 1.199 0.000
La 7.874 5.735 0.000
Mg 0.000 0.000 0.000
Mg 4.536 4.536 0.000
Sc 1.573 6.109 1.833
Sc 2.963 1.573 1.833
Sc 6.109 7.499 1.833
Sc 7.499 2.963 1.833
```

Summary:
Relative energy among the computed polymorphs = 13.8 kJ per mole of atoms
Space-group type = No. 127
Mass density = 4.32 Mg/m³
Calculated volume = 30.17 Å³ per atom
VASP energy = -4.5438 eV/atom
Total magnetic moment = 0.0000 μB/atom

***

# 11
Density functional theory data (PBE) for a relaxed structure of LaMgSc.

Cell and atoms, written as extended XYZ:
```
12
Lattice="7.365 0.000 0.000 0.000 7.365 0.000 0.000 0.000 7.365" Properties=species:S:1:pos:R:3 pbc="T T T"
La 0.000 0.000 0.000
La 0.000 3.682 3.682
La 3.682 0.000 3.682
La 3.682 3.682 0.000
Mg 1.841 1.841 5.523
Mg 1.841 5.523 1.841
Mg 5.523 1.841 1.841
Mg 5.523 5.523 5.523
Sc 0.000 0.000 3.682
Sc 0.000 3.682 0.000
Sc 3.682 0.000 0.000
Sc 3.682 3.682 3.682
```

Summary:
Relative energy among the computed polymorphs = 41.4 kJ per mole of atoms
Space-group type = No. 216
Mass density = 3.46 Mg/m³
Calculated volume = 33.29 Å³ per atom
VASP energy = -3.8596 eV/atom
Total magnetic moment = 0.2886 μB/atom

***

# 12
Density functional theory data (PBE) for a relaxed structure of La5Mg4Sc.

Cell and atoms, written as extended XYZ:
```
10
Lattice="3.940 0.000 0.000 0.000 3.940 0.000 0.000 0.000 20.079" Properties=species:S:1:pos:R:3 pbc="T T T"
La 0.000 0.000 0.000
La 0.000 0.000 3.984
La 0.000 0.000 7.986
La 0.000 0.000 12.093
La 0.000 0.000 16.095
Mg 1.970 1.970 1.985
Mg 1.970 1.970 6.008
Mg 1.970 1.970 14.071
Mg 1.970 1.970 18.094
Sc 1.970 1.970 10.040
```

Summary:
Space-group type = No. 123
Mass density = 4.46 Mg/m³
Calculated volume = 31.17 Å³ per atom
VASP energy = -3.8048 eV/atom
Total magnetic moment = 0.0000 μB/atom

***

Copy entry 7 word for word.
Density functional theory data (PBE) for a relaxed structure of La5Mg6Sc.

Cell and atoms, written as extended XYZ:
```
12
Lattice="2.750 -8.276 0.000 2.750 8.276 0.000 0.000 0.000 7.849" Properties=species:S:1:pos:R:3 pbc="T T T"
La 0.000 0.000 0.000
La 2.750 2.865 0.000
La 2.750 2.727 3.924
La 2.750 -2.727 3.924
La 2.750 -2.865 0.000
Mg 2.750 5.644 2.056
Mg 2.750 5.644 5.792
Mg 2.750 0.000 2.052
Mg 2.750 0.000 5.796
Mg 2.750 -5.644 2.056
Mg 2.750 -5.644 5.792
Sc 0.000 0.000 3.924
```

Summary:
Space-group type = No. 65
Mass density = 4.11 Mg/m³
Calculated volume = 29.77 Å³ per atom
VASP energy = -3.4657 eV/atom
Total magnetic moment = 0.0000 μB/atom

***

What is the mass density in the fourth record? 4.03 Mg/m³